ErUCoO6 PBE with a Hubbard U relaxed; theoretical density = 7.8 Mg/m³; total energy = -8.033 eV per atom
1.0
5.640 0.000 0.000
-2.820 4.885 0.000
0.000 0.000 8.605
Er O Co U
2 12 2 2
Cartesian
0.000 3.256 2.151
2.820 1.628 6.454
-1.784 3.324 7.518
-0.951 4.767 5.389
-0.833 1.678 5.389
1.987 3.207 1.087
3.653 3.207 3.216
4.604 1.560 1.087
0.833 1.678 7.518
0.951 4.767 7.518
3.771 0.118 3.216
1.870 0.118 1.087
1.784 3.324 5.389
1.037 1.560 3.216
0.000 0.000 0.000
0.000 0.000 4.302
2.820 1.628 2.151
0.000 3.256 6.454